A relaxed Pm2TcPbO8 crystal. Source: Alexandria via LeMat-Bulk, functional PBE.

Unit cell a=5.1090 b=5.1104 c=7.0086 alpha=90.00 beta=90.00 gamma=91.58
Element x y z (fractional)
O: 0.8216 0.1786 0.7963
O: 0.2662 0.2660 0.0002
O: 0.1787 0.8215 0.7965
O: 0.1784 0.8214 0.2037
O: 0.8213 0.1785 0.2035
O: 0.3042 0.3042 0.4998
O: 0.6958 0.6958 0.5002
O: 0.7338 0.7340 0.9998
Tc: 0.0000 0.0000 0.0000
Pm: 0.5002 0.5003 0.2445
Pm: 0.4998 0.4997 0.7555
Pb: 0.0000 0.0000 0.5000

ΔE_f (raw): -2.03 eV per atom